Record 1
# TbHoBr

A relaxed TbHoBr crystal (GGA-PBE, the Alexandria database).

## Properties
- N(E_F): 3.7 states/eV/cell
- Total magnetic moment: 0.3 Bohr magnetons per cell
- Mass density: 7.701 g cm⁻³
- Uncorrected formation energy: -2.2 eV/f.u.

a b c (Å): 3.717 3.717 7.276
angles (deg): 90.00 90.00 120.00
Site moments in Bohr magnetons follow the coordinates.
Sites, in units of the cell vectors:
1 Tb 0.333 0.667 0.652  0.09
2 Br 0.667 0.333 0.332  0.00
3 Ho 0.000 0.000 0.016  0.11

Record 2
# ScInBi

A relaxed ScInBi crystal (GGA-PBE, the Alexandria database).

## Properties
- Formation energy from the elements: -0.302 eV/atom
- N(E_F): 3.7 states/eV/cell
- Total magnetic moment: 0.0 Bohr magnetons per cell
- Mass density: 7.187 g cm⁻³

a b c (Å): 4.130 4.130 10.101
angles (deg): 96.06 96.06 90.03
Sites, in units of the cell vectors:
1 Sc 0.228 0.228 0.883
2 Sc 0.772 0.772 0.117
3 In 0.274 0.274 0.572
4 Bi 0.712 0.712 0.813
5 Bi 0.288 0.288 0.187
6 In 0.726 0.726 0.428

Record 3
# LaDyThTc

A relaxed LaDyThTc crystal (GGA-PBE, the Alexandria database).

## Properties
- Formation energy from the elements: 0.112 eV/atom
- N(E_F): 5.2 states/eV/cell
- Total magnetic moment: 0.0 Bohr magnetons per cell
- Mass density: 8.629 g cm⁻³

a b c (Å): 4.632 4.632 7.067
angles (deg): 90.00 109.12 120.02
Sites, in units of the cell vectors:
1 Tc 0.547 0.638 0.184
2 La 0.944 0.838 0.782
3 Th 0.831 0.280 0.111
4 Dy 0.370 0.049 0.419

Record 4
# BaH2O2

A relaxed BaH2O2 crystal (GGA-PBE, the Alexandria database).

## Properties
- N(E_F): 0.0 states/eV/cell
- Total magnetic moment: 0.0 Bohr magnetons per cell
- Raw total energy: -5.3452 eV per atom
- Mass density: 3.099 g cm⁻³

a b c (Å): 4.484 4.484 5.272
angles (deg): 90.00 90.00 120.00
Sites, in units of the cell vectors:
1 O 0.000 0.000 0.794
2 H 0.000 0.000 0.609
3 Ba 0.333 0.667 0.017
4 O 0.667 0.333 0.168
5 H 0.667 0.333 0.982

Record 5
# ErHfInPd

A relaxed ErHfInPd crystal (GGA-PBE, the Alexandria database).

## Properties
- Formation energy from the elements: -0.379 eV/atom
- N(E_F): 4.0 states/eV/cell
- Total magnetic moment: 0.2 Bohr magnetons per cell
- Mass density: 10.801 g cm⁻³

a b c (Å): 4.977 4.977 4.977
angles (deg): 60.00 60.00 60.00
Site moments in Bohr magnetons follow the coordinates.
Sites, in units of the cell vectors:
1 Pd 0.250 0.250 0.250  0.01
2 In 0.750 0.750 0.750  0.00
3 Hf 0.500 0.500 0.500  0.08
4 Er 0.000 0.000 0.000  0.05

Record 6
# Rb2Os2Cl

A relaxed Rb2Os2Cl crystal (GGA-PBE, the Alexandria database).

## Properties
- N(E_F): 3.2 states/eV/cell
- Total magnetic moment: 0.0 Bohr magnetons per cell
- Mass density: 7.302 g cm⁻³
- Uncorrected formation energy: 0.1 eV/f.u.

a b c (Å): 3.556 3.556 10.851
angles (deg): 80.57 80.57 90.00
Sites, in units of the cell vectors:
1 Os 0.750 0.250 0.500
2 Rb 0.401 0.401 0.198
3 Os 0.250 0.750 0.500
4 Rb 0.599 0.599 0.802
5 Cl 0.000 0.000 0.000

Record 7
# Nd3AgOs

A relaxed Nd3AgOs crystal (GGA-PBE, the Alexandria database).

## Properties
- Formation energy from the elements: -0.051 eV/atom
- N(E_F): 15.2 states/eV/cell
- Total magnetic moment: 0.0 Bohr magnetons per cell
- Mass density: 8.319 g cm⁻³

a b c (Å): 7.599 8.840 8.840
angles (deg): 79.35 89.98 89.98
Sites, in units of the cell vectors:
1 Nd 0.709 0.936 0.565
2 Os 0.121 0.302 0.198
3 Ag 0.250 0.324 0.676
4 Nd 0.097 0.962 0.820
5 Nd 0.791 0.435 0.064
6 Ag 0.750 0.676 0.324
7 Nd 0.903 0.038 0.180
8 Os 0.879 0.698 0.802
9 Nd 0.403 0.180 0.038
10 Nd 0.291 0.064 0.435
11 Os 0.379 0.802 0.698
12 Nd 0.209 0.565 0.936
13 Nd 0.597 0.820 0.962
14 Nd 0.597 0.538 0.680
15 Ag 0.250 0.824 0.176
16 Nd 0.403 0.462 0.320
17 Nd 0.903 0.320 0.462
18 Ag 0.750 0.176 0.824
19 Os 0.621 0.198 0.302
20 Nd 0.097 0.680 0.538

Record 8
# Ba4ScNb3O12

A relaxed Ba4ScNb3O12 crystal (GGA-PBE, the Alexandria database).

## Properties
- N(E_F): 6.7 states/eV/cell
- Total magnetic moment: 0.0 Bohr magnetons per cell
- Mass density: 6.136 g cm⁻³
- Uncorrected formation energy: -58.0 eV/f.u.

a b c (Å): 7.207 7.207 7.207
angles (deg): 109.47 109.47 109.47
Sites, in units of the cell vectors:
1 O 0.750 0.250 0.500
2 O 0.744 0.000 0.744
3 O 0.500 0.250 0.750
4 O 0.256 0.256 0.000
5 O 0.000 0.744 0.744
6 O 0.250 0.750 0.500
7 Nb 0.500 0.000 0.500
8 Ba 0.000 0.500 0.000
9 O 0.250 0.500 0.750
10 Ba 0.500 0.000 0.000
11 O 0.000 0.256 0.256
12 O 0.750 0.500 0.250
13 Ba 0.000 0.000 0.500
14 O 0.500 0.750 0.250
15 Nb 0.000 0.500 0.500
16 Sc 0.000 0.000 0.000
17 O 0.744 0.744 0.000
18 Ba 0.500 0.500 0.500
19 O 0.256 0.000 0.256
20 Nb 0.500 0.500 0.000